# 1
## Zr2AgCl (GGA-PBE)

Data for a relaxed Zr2AgCl crystal.

a = 5.0506 Å, b = 3.1435 Å, c = 5.4033 Å
α = 73.33°, β = 90.00°, γ = 90.00°
With the nearest neighbours (Å) after each atom.
Sites, in units of the cell vectors:
Ag: 0.0000 0.5987 0.4239  7 Zr 2.79-3.04
Cl: 0.5000 0.8686 0.8869  4 Zr 2.53-2.68
Zr: 0.0000 0.8712 0.8844  2 Cl 2.53, 1 Ag 2.79
Zr: 0.5000 0.1615 0.3048  2 Cl 2.67-2.68

Summary:
Crystal system: monoclinic
Polymorph energy (0 for the lowest one) in eV per formula unit: 0.857
Density of states at the Fermi level in states/eV/f.u.: 3.60


# 2
## Dy3CoSi2 (GGA-PBE)

Data for a relaxed Dy3CoSi2 crystal.

a = 4.0909 Å, b = 11.1073 Å, c = 11.3800 Å
α = 90.00°, β = 90.00°, γ = 90.00°
With the nearest neighbours (Å) after each atom.
Sites, in units of the cell vectors:
Dy: 0.2500 0.3738 0.0573  1 Co 2.78, 4 Si 2.96-2.99
Dy: 0.7500 0.6262 0.9427  1 Co 2.78, 4 Si 2.96-2.99
Dy: 0.7500 0.8738 0.4427  1 Co 2.78, 4 Si 2.96-2.99
Dy: 0.2500 0.1262 0.5573  1 Co 2.78, 4 Si 2.96-2.99
Dy: 0.2500 0.7013 0.2186  2 Co 2.77, 4 Si 2.93-3.05
Dy: 0.7500 0.2987 0.7814  2 Co 2.77, 4 Si 2.93-3.05
Dy: 0.7500 0.2013 0.2814  2 Co 2.77, 4 Si 2.93-3.05
Dy: 0.2500 0.7987 0.7186  2 Co 2.77, 4 Si 2.93-3.05
Dy: 0.2500 0.4424 0.3818  5 Si 2.89-3.01, 3 Co 2.96-2.97
Dy: 0.7500 0.5576 0.6182  5 Si 2.89-3.01, 3 Co 2.96-2.97
Dy: 0.7500 0.9424 0.1182  5 Si 2.89-3.01, 3 Co 2.96-2.97
Dy: 0.2500 0.0576 0.8818  5 Si 2.89-3.01, 3 Co 2.96-2.97
Co: 0.2500 0.1355 0.1306  3 Si 2.42-2.43
Co: 0.7500 0.8645 0.8694  3 Si 2.42-2.43
Co: 0.7500 0.6355 0.3694  3 Si 2.42-2.43
Co: 0.2500 0.3645 0.6306  3 Si 2.42-2.43
Si: 0.2500 0.6840 0.4752  2 Co 2.43
Si: 0.7500 0.3160 0.5248  2 Co 2.43
Si: 0.7500 0.1840 0.0248  2 Co 2.43
Si: 0.2500 0.8160 0.9752  2 Co 2.43
Si: 0.2500 0.0070 0.3022  1 Co 2.42
Si: 0.7500 0.9930 0.6978  1 Co 2.42
Si: 0.7500 0.5070 0.1978  1 Co 2.42
Si: 0.2500 0.4930 0.8022  1 Co 2.42

Summary:
Crystal system: orthorhombic
Density of states at the Fermi level in states/eV/f.u.: 3.97
Uncorrected energy in eV per atom: -5.973


# 3
## La4As3 (GGA-PBE)

Data for a relaxed La4As3 crystal.

a = 7.9779 Å, b = 7.9779 Å, c = 7.9779 Å
α = 109.47°, β = 109.47°, γ = 109.47°
With the nearest neighbours (Å) after each atom.
Sites, in units of the cell vectors:
As: 0.1250 0.3750 0.7500  8 La 3.04-3.35
As: 0.3750 0.1250 0.2500  8 La 3.04-3.35
As: 0.2500 0.8750 0.6250  8 La 3.04-3.35
As: 0.7500 0.6250 0.8750  8 La 3.04-3.35
As: 0.6250 0.7500 0.3750  8 La 3.04-3.35
As: 0.8750 0.2500 0.1250  8 La 3.04-3.35
La: 0.0000 0.0000 0.8645  6 As 3.04-3.35
La: 0.8645 0.5000 0.5000  6 As 3.04-3.35
La: 0.5000 0.3645 0.0000  6 As 3.04-3.35
La: 0.6355 0.1355 0.6355  6 As 3.04-3.35
La: 0.0000 0.0000 0.3645  6 As 3.04-3.35
La: 0.3645 0.5000 0.5000  6 As 3.04-3.35
La: 0.1355 0.6355 0.1355  6 As 3.04-3.35
La: 0.5000 0.8645 0.0000  6 As 3.04-3.35

Summary:
Crystal system: cubic
Polymorph energy (0 for the lowest one) in eV per formula unit: 0.000
Density of states at the Fermi level in states/eV/f.u.: 8.35
Formation enthalpy at 0 K in eV/atom: -1.34


# 4
## Rb2CrIr (GGA-PBE)

Data for a relaxed Rb2CrIr crystal.

a = 13.0892 Å, b = 13.0892 Å, c = 9.5374 Å
α = 46.67°, β = 46.67°, γ = 90.00°
With the nearest neighbours (Å) after each atom.
Sites, in units of the cell vectors:
Cr: 0.5000 0.5000 0.0000  2 Ir 2.30
Cr: 0.2500 0.7500 0.5000  2 Ir 2.30
Ir: 0.0000 0.0000 0.0000  2 Cr 2.30
Ir: 0.7500 0.2500 0.5000  2 Cr 2.30
Rb: 0.4333 0.1250 0.2500  2 Cr 3.41, 2 Ir 3.78
Rb: 0.3167 0.6250 0.2500  2 Cr 3.41, 2 Ir 3.78
Rb: 0.3750 0.5667 0.7500  2 Cr 3.41, 2 Ir 3.78
Rb: 0.8750 0.6833 0.7500  2 Cr 3.41, 2 Ir 3.78

Summary:
Crystal system: tetragonal
Polymorph energy (0 for the lowest one) in eV per formula unit: 0.000
Density of states at the Fermi level in states/eV/f.u.: 3.77
Formation enthalpy at 0 K in eV/atom: 0.93


# 5
## TlCd6Pb12 (GGA-PBE)

Data for a relaxed TlCd6Pb12 crystal.

a = 9.0577 Å, b = 9.0577 Å, c = 9.0577 Å
α = 109.47°, β = 109.47°, γ = 109.47°
With the nearest neighbours (Å) after each atom.
Sites, in units of the cell vectors:
Tl: 0.0000 0.0000 0.0000  12 Pb 3.40
Cd: 0.3616 0.5000 0.8616  1 Cd 2.89, 2 Pb 3.05
Cd: 0.6384 0.5000 0.1384  1 Cd 2.89, 2 Pb 3.05
Cd: 0.5000 0.8616 0.3616  1 Cd 2.89, 2 Pb 3.05
Cd: 0.5000 0.1384 0.6384  1 Cd 2.89, 2 Pb 3.05
Cd: 0.8616 0.3616 0.5000  1 Cd 2.89, 2 Pb 3.05
Cd: 0.1384 0.6384 0.5000  1 Cd 2.89, 2 Pb 3.05
Pb: 0.2655 0.0776 0.8120  1 Cd 3.05, 1 Tl 3.40
Pb: 0.2655 0.4535 0.1880  1 Cd 3.05, 1 Tl 3.40
Pb: 0.7345 0.5465 0.8120  1 Cd 3.05, 1 Tl 3.40
Pb: 0.7345 0.9224 0.1880  1 Cd 3.05, 1 Tl 3.40
Pb: 0.0776 0.8120 0.2655  1 Cd 3.05, 1 Tl 3.40
Pb: 0.4535 0.1880 0.2655  1 Cd 3.05, 1 Tl 3.40
Pb: 0.5465 0.8120 0.7345  1 Cd 3.05, 1 Tl 3.40
Pb: 0.9224 0.1880 0.7345  1 Cd 3.05, 1 Tl 3.40
Pb: 0.8120 0.2655 0.0776  1 Cd 3.05, 1 Tl 3.40
Pb: 0.1880 0.2655 0.4535  1 Cd 3.05, 1 Tl 3.40
Pb: 0.8120 0.7345 0.5465  1 Cd 3.05, 1 Tl 3.40
Pb: 0.1880 0.7345 0.9224  1 Cd 3.05, 1 Tl 3.40

Summary:
Crystal system: cubic
Density of states at the Fermi level in states/eV/f.u.: 7.83
Formation enthalpy at 0 K in eV/atom: 0.07


# 6
## TlCd10In (GGA-PBE)

Data for a relaxed TlCd10In crystal.

a = 4.9314 Å, b = 6.0965 Å, c = 10.2730 Å
α = 90.00°, β = 90.00°, γ = 90.00°
With the nearest neighbours (Å) after each atom.
Sites, in units of the cell vectors:
Tl: 0.0000 0.0000 0.0000  6 Cd 3.45-3.53
Cd: 0.0000 0.0000 0.3356  6 Cd 2.99-3.03
Cd: 0.0000 0.5000 0.8275  6 Cd 3.01-3.04, 1 In 3.36
Cd: 0.0000 0.5000 0.1725  6 Cd 3.01-3.04, 1 In 3.36
Cd: 0.0000 0.0000 0.6644  6 Cd 2.99-3.03
Cd: 0.5000 0.0000 0.5000  8 Cd 2.99
Cd: 0.5000 0.5000 0.0000  8 Cd 2.99-3.04
Cd: 0.5000 0.2492 0.2496  8 Cd 2.99-3.06
Cd: 0.5000 0.7508 0.7504  8 Cd 2.99-3.06
Cd: 0.5000 0.7508 0.2496  8 Cd 2.99-3.06
Cd: 0.5000 0.2492 0.7504  8 Cd 2.99-3.06
In: 0.0000 0.5000 0.5000  6 Cd 3.36-3.49

Summary:
Crystal system: orthorhombic
Density of states at the Fermi level in states/eV/f.u.: 4.30
Formation enthalpy at 0 K in eV/atom: 0.07


Which of these has the lowest density of states at the Fermi level?
Zr2AgCl


The lowest density of states at the Fermi level belongs to which entry?
Zr2AgCl


Repeat the sixth record exactly.
## TlCd10In (GGA-PBE)

Data for a relaxed TlCd10In crystal.

a = 4.9314 Å, b = 6.0965 Å, c = 10.2730 Å
α = 90.00°, β = 90.00°, γ = 90.00°
With the nearest neighbours (Å) after each atom.
Sites, in units of the cell vectors:
Tl: 0.0000 0.0000 0.0000  6 Cd 3.45-3.53
Cd: 0.0000 0.0000 0.3356  6 Cd 2.99-3.03
Cd: 0.0000 0.5000 0.8275  6 Cd 3.01-3.04, 1 In 3.36
Cd: 0.0000 0.5000 0.1725  6 Cd 3.01-3.04, 1 In 3.36
Cd: 0.0000 0.0000 0.6644  6 Cd 2.99-3.03
Cd: 0.5000 0.0000 0.5000  8 Cd 2.99
Cd: 0.5000 0.5000 0.0000  8 Cd 2.99-3.04
Cd: 0.5000 0.2492 0.2496  8 Cd 2.99-3.06
Cd: 0.5000 0.7508 0.7504  8 Cd 2.99-3.06
Cd: 0.5000 0.7508 0.2496  8 Cd 2.99-3.06
Cd: 0.5000 0.2492 0.7504  8 Cd 2.99-3.06
In: 0.0000 0.5000 0.5000  6 Cd 3.36-3.49

Summary:
Crystal system: orthorhombic
Density of states at the Fermi level in states/eV/f.u.: 4.30
Formation enthalpy at 0 K in eV/atom: 0.07


Which value of density of states at the Fermi level does entry 4 give?
3.77 states/eV/f.u.